This record from OQMD describes a relaxed Cs7Cd3Br13 crystal. The functional is GGA-PBE. Values from VASP.

Quantum ESPRESSO input file:
```
&SYSTEM
  ibrav = 0, nat = 46, ntyp = 3
/
ATOMIC_SPECIES
Cs 132.91 Cs.upf
Cd 112.41 Cd.upf
Br 79.90 Br.upf
CELL_PARAMETERS angstrom
-9.148 9.148 5.668
9.148 -9.148 5.668
9.148 9.148 -5.668
ATOMIC_POSITIONS angstrom
Cs 0.000 0.000 0.000
Cs 5.485 -0.004 0.004
Cs 12.812 0.004 0.004
Cs 5.284 5.284 -2.834
Cs 9.152 3.664 -0.004
Cs 9.152 -3.664 5.664
Cs 3.864 3.864 2.834
Cs 3.664 9.145 0.004
Cs 0.000 0.000 5.668
Cs 5.485 0.004 5.672
Cs 3.864 -3.864 8.502
Cs 9.145 3.664 5.664
Cs -0.004 5.485 5.664
Cs -3.864 3.864 8.502
Cd 2.328 -2.328 2.834
Cd 9.148 0.000 2.834
Cd -2.328 2.328 2.834
Cd 6.820 6.820 2.834
Cd 0.000 9.148 2.834
Cd 2.328 2.328 8.502
Br 9.148 0.000 0.000
Br 8.913 6.274 -2.830
Br 3.256 3.234 -0.571
Br 7.173 -2.022 2.832
Br 11.170 -1.976 2.837
Br 5.914 -5.892 6.239
Br 6.274 8.913 -2.839
Br 2.874 0.235 2.830
Br 3.256 -3.234 5.097
Br 7.126 1.976 2.837
Br 11.124 2.022 2.832
Br 5.914 5.892 0.571
Br 0.235 2.874 2.839
Br 0.000 9.148 0.000
Br 9.383 6.274 2.839
Br 5.892 12.382 -0.571
Br 1.976 7.126 2.832
Br -2.022 7.173 2.837
Br 3.234 3.256 6.239
Br 2.874 -0.235 8.498
Br 6.274 9.383 2.830
Br 5.892 5.914 5.097
Br 2.022 11.124 2.837
Br -1.976 11.170 2.832
Br 3.234 15.040 0.571
Br -0.235 2.874 8.507
```

Properties
Its calculated total energy is -2.780 eV per atom.